NaZrCuTe3 | GGA-PBE | relaxed

a = 8.2900 Å, b = 4.0810 Å, c = 10.3220 Å
α = 90.00°, β = 108.07°, γ = 90.00°
Element x y z (fractional)
Na: 0.2472 0.2500 0.2105
Na: 0.7528 0.7500 0.7895
Zr: 0.1968 0.7500 0.6783
Zr: 0.8032 0.2500 0.3217
Cu: 0.4142 0.2500 0.9030
Cu: 0.5858 0.7500 0.0970
Te: 0.0732 0.7500 0.3685
Te: 0.2446 0.7500 0.9626
Te: 0.4330 0.2500 0.6542
Te: 0.5670 0.7500 0.3458
Te: 0.7554 0.2500 0.0374
Te: 0.9268 0.2500 0.6315

Computed properties:
Crystal system: monoclinic
Polymorph energy (0 for the lowest one), meV per atom: 0